# YSi2W (GGA-PBEsol, relaxed)
# - E_tot (eV per atom) = -7.986
data_YSi2W
_space_group_name_H-M_alt 'P m m m'
_space_group_IT_number 47
_cell_length_a 3.8077
_cell_length_b 3.9209
_cell_length_c 4.5116
_cell_angle_alpha 90.00
_cell_angle_beta 90.00
_cell_angle_gamma 90.00
loop_
_space_group_symop_operation_xyz
'x,y,z'
'-x,-y,-z'
'-x,-y,z'
'x,y,-z'
'x,-y,-z'
'-x,y,z'
'-x,y,-z'
'x,-y,z'
loop_
_atom_site_label
_atom_site_fract_x
_atom_site_fract_y
_atom_site_fract_z
Y1 0.0000 0.0000 0.0000
Si1 0.0000 0.5000 0.5000
Si2 0.5000 0.5000 0.0000
W1 0.5000 0.0000 0.5000